Below is Ca2TcTe after structural relaxation, with properties calculated at the PBE-GGA level.

Output
Formation energy (no corrections) (eV/atom): 0.097
Mass density (g/cm3): 4.49
Final energy (eV per atom): -4.281

abc: 4.1975 4.1975 6.4220
angles: 90.00 90.00 90.00
Space group P4mm (No. 99)
Symmetry-distinct sites (fractional):
Ca 0.0000 0.0000 0.0000
Ca 0.5000 0.5000 0.3388
Tc 0.0000 0.0000 0.5056
Te 0.5000 0.5000 0.8203


Below is Ta2Ti5Nb4 after structural relaxation, with properties calculated at the PBE-GGA level.

Output
Formation enthalpy at 0 K (eV per formula unit): 3.8
Mass density (g/cm3): 7.94
Offset from the most stable computed form (meV per atom): 305
Final energy (eV per atom): -9.061

abc: 2.8300 9.7955 14.6729
angles: 90.00 90.00 90.00
Space group Immm (No. 71)
Symmetry-distinct sites (fractional):
Ta 0.0000 0.0000 0.0986
Ti 0.0000 0.2713 0.3265
Ti 0.0000 0.5000 0.0000
Nb 0.0000 0.0000 0.2969
Nb 0.0000 0.2618 0.5000


Below is Bi2Se3 after structural relaxation, with properties calculated at the PBE-GGA level.

Output
Formation energy (no corrections) (eV/atom): -0.367
Mass density (g/cm3): 7.19
Final energy (eV per atom): -4.010

abc: 12.5387 4.1573 11.6044
angles: 90.00 90.00 90.00
Space group Pnma (No. 62)
Symmetry-distinct sites (fractional):
Bi 0.0225 0.2500 0.1695
Bi 0.1485 0.7500 0.4626
Se 0.0508 0.2500 0.6358
Se 0.1267 0.7500 0.0479
Se 0.2122 0.2500 0.3057


Below is SbRh2Se after structural relaxation, with properties calculated at the PBE-GGA level.

Output
Formation energy (no corrections) (eV/atom): -0.057
Mass density (g/cm3): 9.93
Final energy (eV per atom): -5.634

abc: 4.5400 4.5400 3.2970
angles: 90.00 90.00 90.00
Space group P4/mmm (No. 123)
Symmetry-distinct sites (fractional):
Sb 0.0000 0.0000 0.0000
Rh 0.0000 0.5000 0.5000
Se 0.5000 0.5000 0.0000


Below is BaLi2Hg after structural relaxation, with properties calculated at the PBE-GGA level.

Output
Formation enthalpy at 0 K (eV per formula unit): -1.0
Mass density (g/cm3): 4.80
Final energy (eV per atom): -1.774

abc: 8.4463 4.8764 6.5418
angles: 90.00 115.52 90.00
Space group Cm (No. 8)
Symmetry-distinct sites (fractional):
Ba 0.0000 0.0000 0.0000
Li 0.1889 0.0000 0.5702
Li 0.4889 0.0000 0.4694
Hg 0.3018 0.5000 0.4089


Below is Zn2SiNi after structural relaxation, with properties calculated at the PBE-GGA level.

Output
Formation energy (no corrections) (eV/atom): 0.034
Mass density (g/cm3): 6.48
Final energy (eV per atom): -3.404

abc: 2.6338 2.6338 8.0420
angles: 90.00 90.00 90.00
Space group P4/mmm (No. 123)
Symmetry-distinct sites (fractional):
Zn 0.0000 0.0000 0.2125
Si 0.5000 0.5000 0.5000
Ni 0.5000 0.5000 0.0000


Below is Y2SiSe after structural relaxation, with properties calculated at the PBE-GGA level.

Output
Formation energy (no corrections) (eV/atom): -1.325
Mass density (g/cm3): 4.75
Offset from the most stable computed form (meV per atom): 19
Final energy (eV per atom): -6.784

abc: 4.1074 4.1074 20.4328
angles: 90.00 90.00 120.00
Space group R-3m (No. 166, hexagonal axes)
Symmetry-distinct sites (fractional):
Y 0.0000 0.0000 0.2453
Si 0.0000 0.0000 0.5000
Se 0.0000 0.0000 0.0000


Below is HfNpRh5 after structural relaxation, with properties calculated at the PBE-GGA level.

Output
Formation enthalpy at 0 K (eV per formula unit): -3.2
Mass density (g/cm3): 12.94
Final energy (eV per atom): -8.981

abc: 3.9512 3.9512 7.6453
angles: 90.00 90.00 90.00
Space group P4/mmm (No. 123)
Symmetry-distinct sites (fractional):
Hf 0.0000 0.0000 0.0000
Np 0.5000 0.5000 0.5000
Rh 0.0000 0.5000 0.2665
Rh 0.5000 0.5000 0.0000


Below is LiTbTm2Pd4 after structural relaxation, with properties calculated at the PBE-GGA level.

Output
Formation enthalpy at 0 K (eV per formula unit): -6.5
Mass density (g/cm3): 9.77
Final energy (eV per atom): -5.346

abc: 4.8383 4.8383 23.3684
angles: 90.00 90.00 120.00
Space group R-3m (No. 166, hexagonal axes)
Symmetry-distinct sites (fractional):
Li 0.0000 0.0000 0.0000
Tb 0.0000 0.0000 0.5000
Tm 0.0000 0.0000 0.2577
Pd 0.0000 0.0000 0.1236
Pd 0.0000 0.0000 0.3777


Below is Mg3Sc after structural relaxation, with properties calculated at the PBE-GGA level.

Output
Formation enthalpy at 0 K (eV per formula unit): 0.0
Mass density (g/cm3): 2.11
Final energy (eV per atom): -2.773

abc: 3.2028 4.4025 6.5779
angles: 90.00 90.00 90.00
Space group Pmmm (No. 47)
Symmetry-distinct sites (fractional):
Mg 0.0000 0.0000 0.0000
Mg 0.5000 0.5000 0.2506
Sc 0.0000 0.0000 0.5000


Below is Gd2NiHg after structural relaxation, with properties calculated at the PBE-GGA level.

Output
Formation enthalpy at 0 K (eV per formula unit): -1.6
Mass density (g/cm3): 10.26
Offset from the most stable computed form (meV per atom): 0
Final energy (eV per atom): -8.973

abc: 3.4951 3.4951 7.6055
angles: 90.00 90.00 90.00
Space group P4/mmm (No. 123)
Symmetry-distinct sites (fractional):
Gd 0.0000 0.0000 0.2166
Ni 0.5000 0.5000 0.0000
Hg 0.5000 0.5000 0.5000


Below is K2VOs after structural relaxation, with properties calculated at the PBE-GGA level.

Output
Formation enthalpy at 0 K (eV per formula unit): 5.5
Mass density (g/cm3): 2.98
Offset from the most stable computed form (meV per atom): 0
Final energy (eV per atom): -4.273

abc: 12.7050 12.7050 4.4114
angles: 90.00 90.00 90.00
Space group I-42d (No. 122)
Symmetry-distinct sites (fractional):
K 0.0735 0.2500 0.1250
V 0.0000 0.0000 0.0000
Os 0.0000 0.0000 0.5000


Below is NaP2PtS after structural relaxation, with properties calculated at the PBE-GGA level.

Output
Formation energy (no corrections) (eV/atom): 1.616
Mass density (g/cm3): 4.98
Offset from the most stable computed form (meV per atom): 1340
Final energy (eV per atom): -2.846

abc: 4.7322 4.7322 4.6425
angles: 90.00 90.00 90.00
Space group P4/mmm (No. 123)
Symmetry-distinct sites (fractional):
Na 0.0000 0.0000 0.0000
P 0.0000 0.5000 0.0000
Pt 0.5000 0.5000 0.5000
S 0.0000 0.0000 0.5000


Below is TbScRh2 after structural relaxation, with properties calculated at the PBE-GGA level.

Output
Formation enthalpy at 0 K (eV per formula unit): -3.6
Mass density (g/cm3): 9.16
Final energy (eV per atom): -7.321

abc: 3.2750 3.2750 6.9215
angles: 90.00 90.00 90.00
Space group P4/mmm (No. 123)
Symmetry-distinct sites (fractional):
Tb 0.0000 0.0000 0.0000
Sc 0.0000 0.0000 0.5000
Rh 0.5000 0.5000 0.2694


Below is AlOs2Au after structural relaxation, with properties calculated at the PBE-GGA level.

Output
Formation enthalpy at 0 K (eV per formula unit): 0.7
Mass density (g/cm3): 16.58
Final energy (eV per atom): -7.198

abc: 2.7856 2.7856 27.0209
angles: 90.00 90.00 120.00
Space group R-3m (No. 166, hexagonal axes)
Symmetry-distinct sites (fractional):
Al 0.0000 0.0000 0.0000
Os 0.0000 0.0000 0.2572
Au 0.0000 0.0000 0.5000


Below is Sr2ReP after structural relaxation, with properties calculated at the PBE-GGA level.

Output
Formation enthalpy at 0 K (eV per formula unit): 2.2
Mass density (g/cm3): 6.93
Final energy (eV per atom): -4.768

abc: 6.9335 8.8780 3.0545
angles: 90.00 90.00 90.00
Space group Cmmm (No. 65)
Symmetry-distinct sites (fractional):
Sr 0.2500 0.2500 0.0000
Re 0.0000 0.0000 0.5000
P 0.0000 0.5000 0.5000


Below is KHg2P after structural relaxation, with properties calculated at the PBE-GGA level.

Output
Formation enthalpy at 0 K (eV per formula unit): -0.2
Mass density (g/cm3): 6.20
Final energy (eV per atom): -1.822

abc: 4.5377 6.2176 8.9444
angles: 90.00 90.00 90.00
Space group Imm2 (No. 44)
Symmetry-distinct sites (fractional):
K 0.0000 0.0000 0.0000
Hg 0.0000 0.0000 0.4076
Hg 0.0000 0.5000 0.2050
P 0.0000 0.5000 0.8047


Below is NdTlGaCu after structural relaxation, with properties calculated at the PBE-GGA level.

Output
Formation enthalpy at 0 K (eV per formula unit): -0.7
Mass density (g/cm3): 9.09
Final energy (eV per atom): -3.749

abc: 7.0628 7.0628 7.0628
angles: 90.00 90.00 90.00
Space group F-43m (No. 216)
Symmetry-distinct sites (fractional):
Nd 0.0000 0.0000 0.0000
Tl 0.0000 0.0000 0.5000
Ga 0.2500 0.2500 0.7500
Cu 0.2500 0.2500 0.2500


Below is BeRe2H after structural relaxation, with properties calculated at the PBE-GGA level.

Output
Mass density (g/cm3): 15.08
Offset from the most stable computed form (meV per atom): 327
Final energy (eV per atom): -7.294

abc: 5.5223 5.5223 5.5223
angles: 90.00 90.00 90.00
Space group Fm-3m (No. 225)
Symmetry-distinct sites (fractional):
Be 0.0000 0.0000 0.0000
Re 0.2500 0.2500 0.2500
H 0.0000 0.0000 0.5000


Below is La2Tb6Sm3Tm after structural relaxation, with properties calculated at the PBE-GGA level.

Output
Formation enthalpy at 0 K (eV per formula unit): 0.2
Mass density (g/cm3): 7.75
Final energy (eV per atom): -4.672

abc: 6.2461 10.8166 11.9240
angles: 90.00 100.04 90.00
Space group C2/m (No. 12)
Symmetry-distinct sites (fractional):
La 0.0000 0.1662 0.0000
Tb 0.2478 0.5000 0.7481
Tb 0.2503 0.1659 0.7486
Sm 0.0000 0.0000 0.5000
Sm 0.0000 0.3334 0.5000
Tm 0.0000 0.5000 0.0000